A plane-wave DFT calculation with GGA-PBE was carried out for a geometry-optimized Li6SmPt4 structure.

abc: 6.4580 6.4580 9.8451
angles: 90.00 90.00 90.00
Space group I-42m (No. 121)
Inequivalent atoms, fractional coordinates:
Li  0.0000  0.5000  0.0000 (multiplicity 4)
Li  0.1887  0.1887  0.3013 (multiplicity 8)
Sm  0.0000  0.0000  0.0000 (multiplicity 2)
Pt  0.1859  0.1859  0.5706 (multiplicity 8)

Values from the calculation:
Total magnetic moment, μB per cell: 0.000
Volume, A^3/atom: 18.66
ΔH_f (0 K), kJ/mol of formula units: -442.0



A plane-wave DFT calculation with GGA-PBE was carried out for a geometry-optimized Ba2LiCu3As4 structure.

abc: 4.5002 4.5002 10.2451
angles: 90.00 90.00 90.00
Space group P-4m2 (No. 115)
Inequivalent atoms, fractional coordinates:
Ba  0.0000  0.5000  0.2460 (multiplicity 2)
Li  0.5000  0.5000  0.0000 (multiplicity 1)
Cu  0.0000  0.0000  0.0000 (multiplicity 1)
Cu  0.0000  0.5000  0.6183 (multiplicity 2)
As  0.0000  0.0000  0.5000 (multiplicity 1)
As  0.0000  0.5000  0.8687 (multiplicity 2)
As  0.5000  0.5000  0.5000 (multiplicity 1)

Values from the calculation:
Total magnetic moment, μB per cell: 0.000
Volume, A^3/atom: 20.75
ΔH_f (0 K), kJ/mol of formula units: -587.4



A plane-wave DFT calculation with GGA-PBE was carried out for a geometry-optimized Li2Dy2HoCd5 structure.

abc: 10.4466 10.4466 4.1587
angles: 90.00 90.00 90.00
Space group P4/mbm (No. 127)
Inequivalent atoms, fractional coordinates:
Li  0.1150  0.3850  0.0000 (multiplicity 4)
Dy  0.1793  0.6793  0.0000 (multiplicity 4)
Ho  0.0000  0.0000  0.0000 (multiplicity 2)
Cd  0.0000  0.5000  0.5000 (multiplicity 2)
Cd  0.0614  0.2159  0.5000 (multiplicity 8)

Values from the calculation:
Total magnetic moment, μB per cell: 0.000
Volume, A^3/atom: 22.69
ΔH_f (0 K), kJ/mol of formula units: -253.5